BaICl: relaxed, GGA-PBE.

Values from the calculation:
VASP energy, eV/atom: -3.869
Total moment, μB per cell: 0.000
ρ, g/cm3: 3.95

Cell lengths 5.6290, 5.6290, 5.6290 Å; angles 60.00, 60.00, 60.00 degrees
Fractional positions:
1 Ba 0.0000 0.0000 0.0000
2 I 0.2500 0.2500 0.2500
3 Cl 0.7500 0.7500 0.7500

---

PmThCuPt: relaxed, GGA-PBE.

Values from the calculation:
VASP energy, eV/atom: -6.160
Total moment, μB per cell: 0.000
DFT formation energy, eV/atom: -0.583
ρ, g/cm3: 11.38

Cell lengths 5.0810, 5.0810, 5.0810 Å; angles 60.00, 60.00, 60.00 degrees
Fractional positions:
1 Pm 0.0000 0.0000 0.0000
2 Th 0.5000 0.5000 0.5000
3 Cu 0.2500 0.2500 0.2500
4 Pt 0.7500 0.7500 0.7500